# 1
DFT (GGA-PBE) results for a geometry-optimized Li2Y2AlGaAu2 structure.

Geometry as POSCAR:
```
Li2Y2AlGaAu2
1.0
4.727 0.000 0.000
0.000 4.727 0.000
0.000 0.000 6.690
Li Y Al Ga Au
2 2 1 1 2
direct
0.000 0.500 0.247 Li
0.500 0.000 0.753 Li
0.000 0.000 0.500 Y
0.500 0.500 0.000 Y
0.500 0.500 0.500 Al
0.000 0.000 0.000 Ga
0.000 0.500 0.743 Au
0.500 0.000 0.257 Au
```

Output
E, eV for the cell shown: -35.0
Space group: P-4m2
Volume, Å³ per cell: 149.49

# 2
DFT (GGA-PBE) results for a geometry-optimized NaAlGaAu structure.

Geometry as POSCAR:
```
NaAlGaAu
1.0
6.653 0.000 0.000
0.000 6.653 0.000
0.000 0.000 6.653
Na Al Ga Au
4 4 4 4
direct
0.000 0.000 0.000 Na
0.000 0.500 0.500 Na
0.500 0.000 0.500 Na
0.500 0.500 0.000 Na
0.000 0.000 0.500 Al
0.000 0.500 0.000 Al
0.500 0.000 0.000 Al
0.500 0.500 0.500 Al
0.250 0.250 0.250 Ga
0.250 0.750 0.750 Ga
0.750 0.250 0.750 Ga
0.750 0.750 0.250 Ga
0.250 0.250 0.750 Au
0.250 0.750 0.250 Au
0.750 0.250 0.250 Au
0.750 0.750 0.750 Au
```

Output
E, eV for the cell shown: -47.6
Space group: F-43m
Volume, Å³ per cell: 294.54

# 3
DFT (GGA-PBE) results for a geometry-optimized Na4AlGaAu2 structure.

Geometry as POSCAR:
```
Na4AlGaAu2
1.0
4.844 0.000 0.000
0.000 4.844 0.000
0.000 0.000 6.850
Na Al Ga Au
4 1 1 2
direct
0.000 0.000 0.000 Na
0.000 0.500 0.744 Na
0.500 0.000 0.256 Na
0.500 0.500 0.500 Na
0.500 0.500 0.000 Al
0.000 0.000 0.500 Ga
0.000 0.500 0.238 Au
0.500 0.000 0.762 Au
```

Output
E, eV for the cell shown: -19.9
Space group: P-4m2
Volume, Å³ per cell: 160.74

Please write out number 1 again, unchanged.
DFT (GGA-PBE) results for a geometry-optimized Li2Y2AlGaAu2 structure.

Geometry as POSCAR:
```
Li2Y2AlGaAu2
1.0
4.727 0.000 0.000
0.000 4.727 0.000
0.000 0.000 6.690
Li Y Al Ga Au
2 2 1 1 2
direct
0.000 0.500 0.247 Li
0.500 0.000 0.753 Li
0.000 0.000 0.500 Y
0.500 0.500 0.000 Y
0.500 0.500 0.500 Al
0.000 0.000 0.000 Ga
0.000 0.500 0.743 Au
0.500 0.000 0.257 Au
```

Output
E, eV for the cell shown: -35.0
Space group: P-4m2
Volume, Å³ per cell: 149.49